1.
# TmAlGaTe3 (GGA-PBE, optimized geometry)
# - Electronic total energy: -96.89 eV per cell
data_TmAlGaTe3
_symmetry_space_group_name_H-M 'C m c m'
_symmetry_Int_Tables_number 63
_symmetry_space_group_name_Hall '-C 2c 2'
_cell_length_a 4.3015
_cell_length_b 14.4773
_cell_length_c 11.2550
_cell_angle_alpha 90.00
_cell_angle_beta 90.00
_cell_angle_gamma 90.00
loop_
_atom_site_label
_atom_site_fract_x
_atom_site_fract_y
_atom_site_fract_z
_atom_site_occupancy
Tm1 0.0000 0.0000 0.0000 1
Al1 0.0000 0.4676 0.2500 1
Ga1 0.0000 0.2179 0.7500 1
Te1 0.0000 0.0900 0.2500 1
Te2 0.0000 0.3567 0.0588 1

=====

2.
# Y2Mo4As3N3 (GGA-PBE, optimized geometry)
# - Electronic total energy: -407.39 eV per cell
data_Y2Mo4As3N3
_symmetry_space_group_name_H-M 'C 1 2/c 1'
_symmetry_Int_Tables_number 15
_cell_length_a 9.9723
_cell_length_b 5.8529
_cell_length_c 12.6159
_cell_angle_alpha 90.00
_cell_angle_beta 104.55
_cell_angle_gamma 90.00
loop_
_symmetry_equiv_pos_as_xyz
'x,y,z'
'-x,-y,-z'
'-x,y,-z+1/2'
'x,-y,z+1/2'
'x+1/2,y+1/2,z'
'-x+1/2,-y+1/2,-z'
'-x+1/2,y+1/2,-z+1/2'
'x+1/2,-y+1/2,z+1/2'
loop_
_atom_site_label
_atom_site_fract_x
_atom_site_fract_y
_atom_site_fract_z
_atom_site_occupancy
Y1 0.0491 0.0823 0.3908 1
Mo1 0.1082 0.4276 0.5816 1
Mo2 0.2165 0.4181 0.9190 1
As1 0.0000 0.4596 0.2500 1
As2 0.1900 0.1159 0.7471 1
N1 0.0838 0.2503 0.0003 1
N2 0.2500 0.2500 0.5000 1

=====

3.
# LiHoTh (GGA-PBE, optimized geometry)
# - Energy above the lowest structure with this stoichiometry: 0.000 kcal/mol of atoms
# - Electronic total energy: -48.19 eV per cell
data_LiHoTh
_symmetry_space_group_name_H-M 'F -4 3 m'
_symmetry_Int_Tables_number 216
_symmetry_space_group_name_Hall 'F -4 2 3'
_cell_length_a 7.0341
_cell_length_b 7.0341
_cell_length_c 7.0341
_cell_angle_alpha 90.00
_cell_angle_beta 90.00
_cell_angle_gamma 90.00
loop_
_atom_site_label
_atom_site_fract_x
_atom_site_fract_y
_atom_site_fract_z
_atom_site_occupancy
Li1 0.0000 0.0000 0.0000 1
Ho1 0.2500 0.2500 0.7500 1
Th1 0.2500 0.2500 0.2500 1

=====

- The lowest electronic total energy belongs to which entry?
  Y2Mo4As3N3

=====

- Among the records above, which one has the lowest electronic total energy?
  Y2Mo4As3N3